No. 1
Density functional theory data (PBE-GGA) for a relaxed structure of HgHSe2N.

Properties
DOS(E_F): 2.7 states/eV/f.u.
symmetry: P4/mmm (123)
energy above the lowest structure with this stoichiometry: 52.9 kJ/mol of atoms

The structure in extended XYZ format:
```
5
Lattice="5.506 0.000 0.000 0.000 5.506 0.000 0.000 0.000 4.310" Properties=species:S:1:pos:R:3 pbc="T T T"
Hg 0.000 0.000 0.000
Se 2.753 0.000 0.000
H 2.753 2.753 2.155
N 0.000 0.000 2.155
Se 0.000 2.753 0.000
```



No. 2
Density functional theory data (PBE-GGA) for a relaxed structure of K4SmPu3S8.

Properties
DOS(E_F): 29.0 states/eV/f.u.
formation energy without anion corrections: -1.65 eV/atom
symmetry: R-3m (166)

The structure in extended XYZ format:
```
16
Lattice="-7.065 -4.041 -1.345 1.946 -0.570 -8.510 5.459 -2.935 5.444" Properties=species:S:1:pos:R:3 pbc="T T T"
S 1.479 -6.195 -1.700
S 2.276 -2.736 -3.732
Pu 0.170 -3.773 -2.206
Pu 3.703 -1.752 -1.533
K 0.000 0.000 0.000
K -3.533 -2.021 -0.673
S -1.936 -4.810 -0.679
K -0.803 -3.488 2.050
Sm 0.973 -0.285 -4.255
S 1.619 -2.824 -0.022
S -1.279 -4.723 -4.390
S -4.642 -3.355 -3.379
S -1.139 -1.351 -2.712
S 4.982 -4.191 -1.033
K 2.729 -1.467 2.722
Pu -2.559 -2.306 -4.928
```



Number 1: total DFT energy (no corrections) -0.147 Ry per atom, size of the total moment 5.0 μB/f.u.. Number 2: total DFT energy (no corrections) -0.513 Ry per atom, size of the total moment 15.0 μB/f.u..